1.
A relaxed Mg8In2Pb3 crystal, computed with GGA-PBE.

The structure in CIF format:
```
data_Mg8In2Pb3
_cell_length_a 16.506
_cell_length_b 8.181
_cell_length_c 5.077
_cell_angle_alpha 90.00
_cell_angle_beta 90.05
_cell_angle_gamma 90.00
_space_group_name_H-M_alt 'C 1 2/m 1'
_space_group_IT_number 12
loop_
_space_group_symop_operation_xyz
'x,y,z'
'-x,-y,-z'
'-x,y,-z'
'x,-y,z'
'x+1/2,y+1/2,z'
'-x+1/2,-y+1/2,-z'
'-x+1/2,y+1/2,-z'
'x+1/2,-y+1/2,z'
loop_
_atom_site_label
_atom_site_type_symbol
_atom_site_fract_x
_atom_site_fract_y
_atom_site_fract_z
Mg1 Mg 0.117 0.204 0.001
Mg2 Mg 0.131 0.500 0.498
Mg3 Mg 0.174 0.000 0.502
In1 In 0.232 0.500 0.998
Pb1 Pb 0.000 0.199 0.500
Pb2 Pb 0.000 0.500 0.000
```

Formation energy from the elements: 24 kJ/mol of formula units
Relative energy among the computed polymorphs: 0 meV per atom

=====

2.
A relaxed Rb2Pa3S8Cl crystal, computed with GGA-PBE.

The structure in CIF format:
```
data_Rb2Pa3S8Cl
_cell_length_a 8.1006
_cell_length_b 8.1006
_cell_length_c 25.2618
_cell_angle_alpha 90.00
_cell_angle_beta 90.00
_cell_angle_gamma 120.00
_space_group_name_H-M_alt 'R 3 m'
_space_group_IT_number 160
_space_group_name_Hall 'R 3 -2"'
loop_
_atom_site_label
_atom_site_type_symbol
_atom_site_fract_x
_atom_site_fract_y
_atom_site_fract_z
Rb1 Rb 0.0000 0.0000 0.0000
Rb2 Rb 0.0000 0.0000 0.3619
Pa1 Pa 0.1689 0.3378 0.1939
S1 S 0.0000 0.0000 0.1375
S2 S 0.0000 0.0000 0.5819
S3 S 0.0286 0.5143 0.1406
S4 S 0.1831 0.3662 0.9155
Cl1 Cl 0.0000 0.0000 0.6976
```

Uncorrected formation energy: -1.468 eV per atom

=====

3.
A relaxed Zn2Cu2Pt3 crystal, computed with GGA-PBE.

The structure in CIF format:
```
data_Zn2Cu2Pt3
_cell_length_a 4.3311
_cell_length_b 4.3311
_cell_length_c 19.7119
_cell_angle_alpha 90.00
_cell_angle_beta 90.00
_cell_angle_gamma 120.00
_space_group_name_H-M_alt 'R -3 m'
_space_group_IT_number 166
_space_group_name_Hall '-R 3 2"'
loop_
_atom_site_label
_atom_site_type_symbol
_atom_site_fract_x
_atom_site_fract_y
_atom_site_fract_z
Zn1 Zn 0.0000 0.0000 0.1010
Cu1 Cu 0.0000 0.0000 0.3680
Pt1 Pt 0.0000 0.0000 0.2405
Pt2 Pt 0.0000 0.0000 0.5000
```

Formation energy from the elements: -163 kJ/mol of formula units

=====

Number 1: total magnetic moment 0.00 μB/cell, density 5.1 g cm⁻³. Number 2: total magnetic moment 0.00 μB/cell, density 4.0 g cm⁻³. Number 3: total magnetic moment 0.00 μB/cell, density 13.1 g cm⁻³.